Y4Er2Sc: relaxed, GGA-PBE.

```
data_Y4Er2Sc
_chemical_formula_sum 'Y8 Er4 Sc2'
_symmetry_space_group_name_H-M 'C 1 2/m 1'
_symmetry_Int_Tables_number 12
_cell_length_a 16.424
_cell_length_b 3.457
_cell_length_c 8.592
_cell_angle_alpha 90.00
_cell_angle_beta 116.36
_cell_angle_gamma 90.00
loop_
_symmetry_equiv_pos_as_xyz
'x,y,z'
'-x,-y,-z'
'-x,y,-z'
'x,-y,z'
'x+1/2,y+1/2,z'
'-x+1/2,-y+1/2,-z'
'-x+1/2,y+1/2,-z'
'x+1/2,-y+1/2,z'
loop_
_atom_site_label
_atom_site_type_symbol
_atom_site_fract_x
_atom_site_fract_y
_atom_site_fract_z
Y1 Y 0.079 0.000 0.206
Y2 Y 0.134 0.500 0.904
Er1 Er 0.218 0.000 0.645
Sc1 Sc 0.000 0.000 0.500
```

## Properties
For the total energy, the calculation gives -5.7598 eV per atom.